## LiHfMnS4 (GGA-PBE)

Data for a geometry-optimized LiHfMnS4 structure.

The structure in POSCAR format:
```
LiHfMnS4
1.0
-3.683 3.721 5.104
3.683 -3.721 5.104
3.683 3.721 -5.104
Li Hf Mn S
2 2 2 8
Direct
0.383 0.133 0.250
0.617 0.867 0.750
0.000 0.500 0.500
0.500 0.500 0.000
0.000 0.000 0.500
0.000 0.500 0.000
0.220 0.747 0.473
0.226 0.253 0.973
0.242 0.254 0.512
0.242 0.730 0.988
0.758 0.270 0.012
0.758 0.746 0.488
0.774 0.747 0.027
0.780 0.253 0.527
```

Properties
ρ	4.376	g/cm3
total energy	-91.27	eV/cell
SG	Imma, No. 74
N(E_F)	3.9	states/eV per cell

## Tl8Cd2Bi (GGA-PBE)

Data for a geometry-optimized Tl8Cd2Bi structure.

The structure in POSCAR format:
```
Tl8Cd2Bi
1.0
5.458 0.000 0.000
0.054 7.558 0.000
2.632 3.742 8.248
Tl Cd Bi
8 2 1
Direct
0.000 0.000 0.000
0.027 0.492 0.943
0.210 0.397 0.578
0.327 0.879 0.336
0.454 0.647 0.086
0.634 0.100 0.728
0.663 0.661 0.670
0.824 0.149 0.336
0.163 0.918 0.666
0.497 0.249 0.008
0.832 0.586 0.332
```

Properties
ρ	10.098	g/cm3
formation enthalpy at 0 K	28	meV per atom
relative energy among the computed polymorphs	0.0000	eV/atom
SG	P1, No. 1
N(E_F)	4.6	states/eV per cell

## NbAl2ZnFe (GGA-PBE)

Data for a geometry-optimized NbAl2ZnFe structure.

The structure in POSCAR format:
```
NbAl2ZnFe
1.0
4.458 0.000 0.000
0.000 4.458 0.000
0.000 0.000 4.554
Nb Al Zn Fe
1 2 1 1
Direct
0.000 0.000 0.000
0.000 0.500 0.500
0.500 0.000 0.500
0.500 0.500 0.000
0.000 0.000 0.500
```

Properties
ρ	4.919	g/cm3
formation enthalpy at 0 K	293	meV per atom
SG	P4/mmm, No. 123
N(E_F)	3.3	states/eV per cell

Q: What is the formula in the first record?
A: LiHfMnS4

Q: Number 2 is which compound?
A: Tl8Cd2Bi

Q: The lowest N(E_F) belongs to which entry?
A: NbAl2ZnFe